The following is a PBE-GGA calculation of an optimized crystal structure of Tm3NpTl4Se8, from Alexandria via LeMat-Bulk.

Calculated values
symmetry = No. 166
density = 7.81 g cm⁻³
total magnetic moment = 4.00 μB/f.u.
uncorrected energy = -83.63 eV/f.u.

Lattice parameters (Å, degrees): 8.3248 9.1372 8.3253 117.11 120.00 90.00
Positions (direct):
Tm: 0.0000 0.5000 0.5000
Tm: 0.5000 0.5000 0.0000
Tm: 0.5000 0.5000 0.5000
Se: 0.7627 0.2973 0.0345
Se: 0.2664 0.2992 0.5328
Se: 0.7627 0.2973 0.5254
Se: 0.7281 0.7027 0.9655
Se: 0.2373 0.7027 0.4746
Se: 0.2719 0.2973 0.0345
Se: 0.7336 0.7008 0.4672
Se: 0.2373 0.7027 0.9655
Tl: 0.0000 0.0000 0.5000
Tl: 0.5000 0.0000 0.0000
Tl: 0.0000 0.0000 0.0000
Tl: 0.5000 0.0000 0.5000
Np: 0.0000 0.5000 0.0000